No. 1
A plane-wave DFT calculation with PBE was carried out for a relaxed CaTaCd2 crystal.

Properties
D(E_F)	2.832	states/eV/cell
ΔH_f (0 K)	0.39	eV/atom
calculated volume	22.9	A^3/atom
uncorrected energy	-3.5314	eV per atom
magnetic moment	0.76	μB per formula unit

Lattice parameters (Å, degrees): 3.142 4.600 6.326 90.00 90.00 90.00
Space group Pmm2 (No. 25)
Unique sites:
1 Ca 0.000 0.000 0.000
2 Ta 0.500 0.500 0.718
3 Cd 0.000 0.000 0.518
4 Cd 0.500 0.500 0.246

=====

No. 2
A plane-wave DFT calculation with PBE was carried out for a relaxed Ca2TaCd2 crystal.

Properties
D(E_F)	17.279	states/eV/cell
ΔH_f (0 K)	0.82	eV/atom
calculated volume	26.0	A^3/atom
uncorrected energy	-2.7198	eV per atom
magnetic moment	0.00	μB per formula unit

Lattice parameters (Å, degrees): 4.341 4.341 13.805 90.00 90.00 90.00
Space group I4/mmm (No. 139)
Unique sites:
1 Ca 0.000 0.500 0.250
2 Ta 0.000 0.000 0.000
3 Cd 0.000 0.000 0.407

=====

No. 3
A plane-wave DFT calculation with PBE was carried out for a relaxed CaTaCd2 crystal.

Properties
D(E_F)	8.854	states/eV/cell
ΔH_f (0 K)	0.48	eV/atom
calculated volume	22.7	A^3/atom
uncorrected energy	-3.4404	eV per atom
magnetic moment	1.35	μB per formula unit

Lattice parameters (Å, degrees): 4.351 4.351 9.581 90.00 90.00 90.00
Space group I-4m2 (No. 119)
Unique sites:
1 Ca 0.000 0.000 0.000
2 Ta 0.000 0.500 0.250
3 Cd 0.000 0.000 0.500
4 Cd 0.000 0.500 0.750

=====

No. 4
A plane-wave DFT calculation with PBE was carried out for a relaxed CaTaCd2 crystal.

Properties
D(E_F)	2.796	states/eV/cell
ΔH_f (0 K)	0.22	eV/atom
calculated volume	22.4	A^3/atom
uncorrected energy	-3.7036	eV per atom
magnetic moment	0.00	μB per formula unit

Lattice parameters (Å, degrees): 3.081 4.273 6.816 90.00 90.00 90.00
Space group Pmmm (No. 47)
Unique sites:
1 Ca 0.000 0.000 0.000
2 Ta 0.000 0.000 0.500
3 Cd 0.500 0.500 0.281

=====

No. 5
A plane-wave DFT calculation with PBE was carried out for a relaxed CaTa2CdTe crystal.

Properties
D(E_F)	6.195	states/eV/cell
calculated volume	26.6	A^3/atom
uncorrected energy	-3.8320	eV per atom
magnetic moment	0.00	μB per formula unit

Lattice parameters (Å, degrees): 4.960 4.960 5.398 90.00 90.00 90.00
Space group P4/mmm (No. 123)
Unique sites:
1 Ca 0.000 0.000 0.000
2 Ta 0.000 0.500 0.000
3 Cd 0.000 0.000 0.500
4 Te 0.500 0.500 0.500

=====

No. 6
A plane-wave DFT calculation with PBE was carried out for a relaxed Ca2TaTlCd crystal.

Properties
D(E_F)	3.563	states/eV/cell
ΔH_f (0 K)	1.09	eV/atom
calculated volume	34.7	A^3/atom
uncorrected energy	-2.7362	eV per atom
magnetic moment	3.41	μB per formula unit

Lattice parameters (Å, degrees): 5.743 5.743 5.263 90.00 90.00 90.00
Space group P4/mmm (No. 123)
Unique sites:
1 Ca 0.000 0.500 0.000
2 Ta 0.000 0.000 0.500
3 Tl 0.500 0.500 0.500
4 Cd 0.500 0.500 0.000

=====

No. 7
A plane-wave DFT calculation with PBE was carried out for a relaxed CaTaVCd2 crystal.

Properties
D(E_F)	5.158	states/eV/cell
ΔH_f (0 K)	0.62	eV/atom
calculated volume	25.1	A^3/atom
uncorrected energy	-4.3436	eV per atom
magnetic moment	0.37	μB per formula unit

Lattice parameters (Å, degrees): 5.286 5.286 4.490 90.00 90.00 90.00
Space group P4/mmm (No. 123)
Unique sites:
1 Ca 0.000 0.000 0.000
2 Ta 0.500 0.500 0.000
3 V 0.500 0.500 0.500
4 Cd 0.000 0.500 0.500

=====

No. 8
A plane-wave DFT calculation with PBE was carried out for a relaxed CaTa2VCd crystal.

Properties
D(E_F)	11.244	states/eV/cell
ΔH_f (0 K)	1.87	eV/atom
calculated volume	25.6	A^3/atom
uncorrected energy	-5.2747	eV per atom
magnetic moment	0.01	μB per formula unit

Lattice parameters (Å, degrees): 5.119 5.119 4.888 90.00 90.00 90.00
Space group P4/mmm (No. 123)
Unique sites:
1 Ca 0.000 0.000 0.000
2 Ta 0.000 0.500 0.500
3 V 0.500 0.500 0.000
4 Cd 0.500 0.500 0.500

=====

No. 9
A plane-wave DFT calculation with PBE was carried out for a relaxed CaTb2Cd3 crystal.

Properties
D(E_F)	10.055	states/eV/cell
ΔH_f (0 K)	-0.34	eV/atom
calculated volume	26.9	A^3/atom
uncorrected energy	-2.6763	eV per atom
magnetic moment	0.00	μB per formula unit

Lattice parameters (Å, degrees): 5.3406 5.3406 13.0558 90.00 90.00 120.00
Space group P-3m1 (No. 164)
Unique sites:
1 Ca 0.3333 0.6667 0.1670
2 Tb 0.0000 0.0000 0.0000
3 Tb 0.0000 0.0000 0.5000
4 Tb 0.3333 0.6667 0.6664
5 Cd 0.0000 0.0000 0.2517
6 Cd 0.3333 0.6667 0.4187
7 Cd 0.3333 0.6667 0.9164

=====

No. 10
A plane-wave DFT calculation with PBE was carried out for a relaxed CaTb2Cd2 crystal.

Properties
D(E_F)	16.895	states/eV/cell
ΔH_f (0 K)	-0.25	eV/atom
calculated volume	28.5	A^3/atom
uncorrected energy	-2.8734	eV per atom
magnetic moment	0.00	μB per formula unit

Lattice parameters (Å, degrees): 3.753 27.923 5.434 90.00 90.00 90.00
Space group Cmcm (No. 63)
Unique sites:
1 Ca 0.000 0.146 0.250
2 Tb 0.000 0.047 0.750
3 Tb 0.000 0.234 0.750
4 Cd 0.000 0.358 0.250
5 Cd 0.000 0.453 0.750

=====

No. 11
A plane-wave DFT calculation with PBE was carried out for a relaxed CaTb2Cd crystal.

Properties
D(E_F)	17.651	states/eV/cell
ΔH_f (0 K)	-0.01	eV/atom
calculated volume	29.7	A^3/atom
uncorrected energy	-3.0550	eV per atom
magnetic moment	0.00	μB per formula unit

Lattice parameters (Å, degrees): 7.805 7.805 7.805 90.00 90.00 90.00
Space group Fm-3m (No. 225)
Unique sites:
1 Ca 0.000 0.000 0.000
2 Tb 0.250 0.250 0.250
3 Cd 0.000 0.000 0.500

=====

No. 12
A plane-wave DFT calculation with PBE was carried out for a relaxed Ca4TbCd5 crystal.

Properties
D(E_F)	7.645	states/eV/cell
ΔH_f (0 K)	-0.35	eV/atom
calculated volume	27.9	A^3/atom
uncorrected energy	-2.0730	eV per atom
magnetic moment	0.00	μB per formula unit

Lattice parameters (Å, degrees): 3.815 3.815 19.140 90.00 90.00 90.00
Space group P4/mmm (No. 123)
Unique sites:
1 Ca 0.000 0.000 0.101
2 Ca 0.000 0.000 0.303
3 Tb 0.000 0.000 0.500
4 Cd 0.500 0.500 0.000
5 Cd 0.500 0.500 0.202
6 Cd 0.500 0.500 0.405